Computed, not measured: crystalline Tc2RhPb at its relaxed geometry at the PBE-GGA level of DFT.

Lattice parameters (Å, degrees): 2.9340 2.9340 27.4750 90.00 90.00 120.00
Closest atoms and distances in Å follow each position.
Space group R3m (No. 160, hexagonal axes)
One atom of each set of equivalent atoms:
Tc 0.0000 0.0000 0.0000 x3  9 Tc 2.64-2.93, 3 Rh 2.73
Tc 0.0000 0.0000 0.2597 x3  9 Tc 2.64-2.93
Rh 0.0000 0.0000 0.7444 x3  3 Tc 2.73, 6 Rh 2.93, 3 Pb 2.96
Pb 0.0000 0.0000 0.4996 x3  6 Pb 2.93, 3 Rh 2.96, 3 Tc 3.08

Output
Formation energy from the elements: 0.41 eV per atom


Computed, not measured: crystalline Tc2RhPb at its relaxed geometry at the PBE-GGA level of DFT.

Lattice parameters (Å, degrees): 2.9580 2.9580 7.6418 90.00 90.00 90.00
Closest atoms and distances in Å follow each position.
Space group P4/mmm (No. 123)
One atom of each set of equivalent atoms:
Tc 0.0000 0.0000 0.2262 x2  4 Rh 2.71, 4 Tc 2.96, 4 Pb 2.96
Rh 0.5000 0.5000 0.0000 x1  8 Tc 2.71, 4 Rh 2.96
Pb 0.5000 0.5000 0.5000 x1  4 Pb 2.96, 8 Tc 2.96

Output
Formation energy from the elements: 0.59 eV per atom


Computed, not measured: crystalline Tc2RhPb at its relaxed geometry at the PBE-GGA level of DFT.

Lattice parameters (Å, degrees): 6.4502 6.4502 6.4502 90.00 90.00 90.00
Closest atoms and distances in Å follow each position.
Space group F-43m (No. 216)
One atom of each set of equivalent atoms:
Tc 0.0000 0.0000 0.0000 x4  4 Tc 2.79, 4 Rh 2.79
Tc 0.2500 0.2500 0.2500 x4  4 Pb 2.79, 4 Tc 2.79
Rh 0.2500 0.2500 0.7500 x4  4 Pb 2.79, 4 Tc 2.79
Pb 0.0000 0.0000 0.5000 x4  4 Tc 2.79, 4 Rh 2.79

Output
Formation energy from the elements: 0.48 eV per atom


Computed, not measured: crystalline ZrTcRhPb at its relaxed geometry at the PBE-GGA level of DFT.

Lattice parameters (Å, degrees): 6.6031 6.6031 6.6031 90.00 90.00 90.00
Closest atoms and distances in Å follow each position.
Space group F-43m (No. 216)
One atom of each set of equivalent atoms:
Zr 0.0000 0.0000 0.0000 x4  4 Tc 2.86, 4 Rh 2.86
Tc 0.2500 0.2500 0.2500 x4  4 Zr 2.86, 4 Pb 2.86
Rh 0.2500 0.2500 0.7500 x4  4 Zr 2.86, 4 Pb 2.86
Pb 0.0000 0.0000 0.5000 x4  4 Tc 2.86, 4 Rh 2.86

Output
Formation energy from the elements: -0.24 eV per atom


Computed, not measured: crystalline TeRh2Pb2 at its relaxed geometry at the PBE-GGA level of DFT.

Lattice parameters (Å, degrees): 7.5159 7.5159 3.8380 90.00 90.00 90.00
Closest atoms and distances in Å follow each position.
Space group P4/mbm (No. 127)
One atom of each set of equivalent atoms:
Te 0.0000 0.0000 0.0000 x2  4 Rh 2.87
Rh 0.1477 0.3523 0.0000 x4  6 Pb 2.86-2.96, 2 Te 2.87, 1 Rh 3.14
Pb 0.1528 0.6528 0.5000 x4  6 Rh 2.86-2.96

Output
Energy relative to the elements, uncorrected: 0.00 eV per atom
E above lowest polymorph: 0 meV/atom


Computed, not measured: crystalline Te2Rh2Pb at its relaxed geometry at the PBE-GGA level of DFT.

Lattice parameters (Å, degrees): 4.0519 4.0519 14.8054 90.00 90.00 90.00
Closest atoms and distances in Å follow each position.
Space group I4/mmm (No. 139)
One atom of each set of equivalent atoms:
Te 0.0000 0.0000 0.1363 x4  4 Rh 2.63
Rh 0.0000 0.5000 0.2500 x4  4 Te 2.63, 4 Rh 2.87
Pb 0.0000 0.0000 0.5000 x2  8 Te 3.50

Output
Energy relative to the elements, uncorrected: -0.15 eV per atom
E above lowest polymorph: 0 meV/atom


Computed, not measured: crystalline TeRh2Pb2 at its relaxed geometry at the PBE-GGA level of DFT.

Lattice parameters (Å, degrees): 4.3584 4.3584 12.2615 90.00 90.00 90.00
Closest atoms and distances in Å follow each position.
Space group I4/mmm (No. 139)
One atom of each set of equivalent atoms:
Te 0.0000 0.0000 0.0000 x2  8 Rh 3.35
Rh 0.0000 0.0000 0.3927 x4  1 Rh 2.63, 4 Pb 2.79
Pb 0.0000 0.5000 0.2500 x4  4 Rh 2.79, 4 Pb 3.08

Output
Energy relative to the elements, uncorrected: 0.28 eV per atom
E above lowest polymorph: 281 meV/atom


Computed, not measured: crystalline TeRhPb at its relaxed geometry at the PBE-GGA level of DFT.

Lattice parameters (Å, degrees): 3.3619 3.3619 13.0547 90.00 90.00 90.00
Closest atoms and distances in Å follow each position.
Space group I4mm (No. 107)
One atom of each set of equivalent atoms:
Te 0.0000 0.0000 0.0000 x2  4 Rh 2.70
Rh 0.0000 0.0000 0.4014 x2  4 Te 2.70
Pb 0.0000 0.0000 0.7433 x2  4 Rh 3.15, 1 Te 3.35, 4 Pb 3.36

Output
Energy relative to the elements, uncorrected: -0.15 eV per atom
E above lowest polymorph: 183 meV/atom


Calculated spin magnetization in order - 0.0000 0.0095 0.5770 0.0000 0.0000 0.0000 0.0000 0.0000 μB/atom